# Pm3Zn9Co2 (PBE-GGA, relaxed)
data_Pm3Zn9Co2
_cell_length_a 4.341
_cell_length_b 9.344
_cell_length_c 12.333
_cell_angle_alpha 90.00
_cell_angle_beta 90.00
_cell_angle_gamma 90.00
_symmetry_space_group_name_H-M 'I m m m'
_symmetry_Int_Tables_number 71
_symmetry_space_group_name_Hall '-I 2 2'
loop_
_atom_site_label
_atom_site_type_symbol
_atom_site_fract_x
_atom_site_fract_y
_atom_site_fract_z
_atom_site_occupancy
Pm1 Pm 0.000 0.000 0.000 1
Pm2 Pm 0.000 0.000 0.307 1
Zn1 Zn 0.000 0.282 0.120 1
Zn2 Zn 0.000 0.356 0.347 1
Zn3 Zn 0.000 0.500 0.000 1
Co1 Co 0.000 0.172 0.500 1
# magnetic moment = 0.0 μB per formula unit
# theoretical density = 7.58 g/cm³
# raw total energy = -0.2280 Ry per atom
# energy of formation from the pure elements = -0.250 eV per atom